Entry from Alexandria: a relaxed structure of Ac8GeSb3Te4 (PBE).

The calculation puts the density of states at the Fermi level at 14.2 states/eV/cell. Its uncorrected formation energy is -1363.9 meV per atom. The total energy is -5.27 eV/atom.

It has space group R-3m (No. 166, hexagonal axes), with a = 9.5097 Å, b = 9.5097 Å, c = 23.3247 Å, α = 90.00°, β = 90.00° and γ = 120.00°. The distinct sites, in fractional coordinates, are Ac at (0.0000, 0.0000, 0.2469), Ac at (0.0109, 0.5055, 0.2445), Ge at (0.0000, 0.0000, 0.5000), Sb at (0.0000, 0.5000, 0.5000), Te at (0.0000, 0.0000, 0.0000) and Te at (0.0000, 0.5000, 0.0000).

=====

Entry from Alexandria: a relaxed structure of Ac6GeSb2Te3 (PBE).

The calculation puts the density of states at the Fermi level at 5.4 states/eV/cell. Its uncorrected formation energy is -1354.1 meV per atom. The total energy is -5.27 eV/atom.

It has space group C2/m (No. 12), with a = 8.229 Å, b = 14.251 Å, c = 8.226 Å, α = 90.00°, β = 109.45° and γ = 90.00°. The distinct sites, in fractional coordinates, are Ac at (0.238, 0.160, 0.233), Ac at (0.242, 0.000, 0.765), Ge at (0.000, 0.000, 0.000), Sb at (0.000, 0.334, 0.000), Te at (0.000, 0.171, 0.500) and Te at (0.000, 0.500, 0.500).

=====

Entry from Alexandria: a relaxed structure of Ac8GeSb4Te3 (PBE).

The calculation puts the density of states at the Fermi level at 11.7 states/eV/cell. Its uncorrected formation energy is -1314.9 meV per atom. The total energy is -5.28 eV/atom.

It has space group R-3m (No. 166, hexagonal axes), with a = 9.5287 Å, b = 9.5287 Å, c = 23.2535 Å, α = 90.00°, β = 90.00° and γ = 120.00°. The distinct sites, in fractional coordinates, are Ac at (0.0000, 0.0000, 0.2467), Ac at (0.0124, 0.5062, 0.7495), Ge at (0.0000, 0.0000, 0.0000), Sb at (0.0000, 0.0000, 0.5000), Sb at (0.0000, 0.5000, 0.5000) and Te at (0.0000, 0.5000, 0.0000).